Entry from Alexandria: a PBEsol-optimized structure of InRhI2O (SCAN).

a b c (Å): 3.8395 5.7974 5.7974
angles (deg): 90.00 90.00 90.00
Last column: magnetic moment on the atom in μB.
Positions (direct):
I 0.0000 0.0000 0.5000  0.09
I 0.0000 0.5000 0.0000  0.09
Rh 0.5000 0.5000 0.5000  1.72
O 0.5000 0.0000 0.0000  0.00
In 0.0000 0.0000 0.0000  0.00

* Fermi-level density of states: 3.6 states/eV/cell
* calculated volume: 25.8 A^3/atom
* energy relative to the elements, uncorrected: 180 meV/atom

---

Entry from Alexandria: a PBEsol-optimized structure of Zn2Ge2Te (SCAN).

a b c (Å): 4.3230 4.3230 6.1150
angles (deg): 110.70 110.70 90.00
Positions (direct):
Ge 0.3847 0.3847 0.7695
Ge 0.6153 0.6153 0.2305
Te 0.0000 0.0000 0.0000
Zn 0.2500 0.7500 0.5000
Zn 0.7500 0.2500 0.5000

* Fermi-level density of states: 2.1 states/eV/cell
* calculated volume: 19.8 A^3/atom
* energy relative to the elements, uncorrected: 271 meV/atom

---

Entry from Alexandria: a PBEsol-optimized structure of CuTeO4 (SCAN).

a b c (Å): 3.0171 4.8784 4.8838
angles (deg): 100.40 90.00 90.00
Last column: magnetic moment on the atom in μB.
Positions (direct):
Te 0.5000 0.5000 0.5000  0.01
Cu 0.0000 0.0000 0.0000  0.73
O 0.0000 0.3256 0.6733  0.02
O 0.5000 0.1909 0.1900  0.10
O 0.0000 0.6744 0.3267  0.02
O 0.5000 0.8091 0.8100  0.10

* Fermi-level density of states: 0.3 states/eV/cell
* calculated volume: 11.8 A^3/atom
* energy relative to the elements, uncorrected: -942 meV/atom

---

Entry from Alexandria: a PBEsol-optimized structure of In2CuRu (SCAN).

a b c (Å): 3.2095 4.4923 4.4924
angles (deg): 90.00 90.00 90.00
Positions (direct):
Cu 0.5000 0.5000 0.1256
In 0.0000 0.0000 0.1246
In 0.0000 0.5000 0.6254
Ru 0.5000 0.0000 0.6244

* Fermi-level density of states: 1.9 states/eV/cell
* calculated volume: 16.2 A^3/atom
* formation energy: 0.0706 eV per atom

---

Entry from Alexandria: a PBEsol-optimized structure of PmTmAl2 (SCAN).

a b c (Å): 5.0587 5.0587 5.0587
angles (deg): 60.00 60.00 60.00
Positions (direct):
Tm 0.0000 0.0000 0.0000
Al 0.2500 0.2500 0.2500
Al 0.7500 0.7500 0.7500
Pm 0.5000 0.5000 0.5000

* Fermi-level density of states: 1.2 states/eV/cell
* calculated volume: 22.9 A^3/atom
* formation energy: -0.3947 eV per atom

---

Entry from Alexandria: a PBEsol-optimized structure of Rb3BaRe (SCAN).

a b c (Å): 6.6780 6.6780 6.6780
angles (deg): 90.00 90.00 90.00
Last column: magnetic moment on the atom in μB.
Positions (direct):
Re 0.0000 0.0000 0.0000  2.56
Ba 0.5000 0.5000 0.5000  -0.15
Rb 0.0000 0.5000 0.0000  -0.01
Rb 0.0000 0.0000 0.5000  -0.01
Rb 0.5000 0.0000 0.0000  -0.01

* Fermi-level density of states: 13.5 states/eV/cell
* calculated volume: 59.6 A^3/atom
* formation energy: 1.4565 eV per atom